[1]
This record from Alexandria describes a relaxed structure of CoNi12Pd3. The functional is PBE.

Cell and atoms, written as POSCAR:
```
CoNi12Pd3
1.0
3.617 0.000 0.000
0.000 3.617 0.000
0.000 0.000 14.471
Co Ni Pd
1 12 3
Cartesian
0.000 0.000 0.000
0.000 1.809 1.687
0.000 1.809 5.395
0.000 1.809 9.076
0.000 1.809 12.784
1.809 0.000 1.687
1.809 0.000 5.395
1.809 0.000 9.076
1.809 0.000 12.784
1.809 1.809 0.000
1.809 1.809 3.542
1.809 1.809 7.235
1.809 1.809 10.929
0.000 0.000 3.554
0.000 0.000 7.235
0.000 0.000 10.917
```

Results
**ΔE_f**: 0.50 eV per formula unit
**Calculated total energy**: -0.42059 Ry/atom
**Size of the total moment**: 11.47 μB per cell
**Crystal system**: tetragonal
**Density**: 9.49 g/cm3
**Symmetry**: P4/mmm (123)

=====

[2]
This record from Alexandria describes a relaxed structure of Co3Ni2Pd2. The functional is PBE.

Cell and atoms, written as POSCAR:
```
Co3Ni2Pd2
1.0
2.623 0.000 0.000
1.304 5.453 0.000
0.000 2.090 6.042
Co Ni Pd
3 2 2
Cartesian
0.000 0.000 0.000
1.307 4.130 5.260
2.620 3.413 0.782
1.312 1.445 1.551
2.615 6.098 4.491
1.307 4.896 2.572
2.620 2.647 3.470
```

Results
**ΔE_f**: 0.29 eV per formula unit
**Calculated total energy**: -0.45123 Ry/atom
**Size of the total moment**: 7.14 μB per cell
**Excess energy over the best structure of this formula in the dataset**: 0.000 eV per atom
**Crystal system**: triclinic
**Density**: 9.74 g/cm3
**Symmetry**: P-1 (2)

=====

[3]
This record from Alexandria describes a relaxed structure of Co2NiPd6. The functional is PBE.

Cell and atoms, written as POSCAR:
```
Co2NiPd6
1.0
6.928 -1.376 0.000
6.928 1.376 0.000
-4.493 0.000 6.697
Co Ni Pd
2 1 6
Cartesian
0.853 0.000 2.315
8.510 0.000 4.382
6.928 0.000 0.000
2.209 0.000 0.041
-0.627 0.000 4.447
3.814 0.000 4.499
5.549 0.000 2.198
9.990 0.000 2.250
7.154 0.000 6.656
```

Results
**ΔE_f**: 0.35 eV per formula unit
**Calculated total energy**: -0.41483 Ry/atom
**Size of the total moment**: 6.72 μB per cell
**Excess energy over the best structure of this formula in the dataset**: 0.017 eV per atom
**Crystal system**: monoclinic
**Density**: 10.60 g/cm3
**Symmetry**: C2/m (12)

=====

[4]
This record from Alexandria describes a relaxed structure of Co7NiPd12. The functional is PBE.

Cell and atoms, written as POSCAR:
```
Co7NiPd12
1.0
5.327 3.076 2.852
-5.327 3.076 2.852
0.000 -6.151 2.852
Co Ni Pd
7 1 12
Cartesian
0.000 0.000 0.000
-2.110 -1.213 3.840
-0.005 -2.434 4.717
-2.106 1.221 4.717
2.106 -1.221 3.839
0.005 2.434 3.839
2.110 1.213 4.717
0.000 0.000 4.278
-3.930 0.665 2.857
-0.009 -1.549 2.184
-1.337 0.782 2.184
-2.541 -3.071 5.699
1.389 -3.736 2.857
1.346 0.767 2.184
-1.346 -0.767 6.372
-1.389 3.736 5.699
2.541 3.071 2.857
1.337 -0.782 6.372
0.009 1.549 6.372
3.930 -0.665 5.699
```

Results
**ΔE_f**: 1.76 eV per formula unit
**Calculated total energy**: -0.42658 Ry/atom
**Size of the total moment**: 18.05 μB per cell
**Crystal system**: trigonal
**Density**: 10.35 g/cm3
**Symmetry**: R-3 (148)

=====

- Which of these has the highest density?
  Co2NiPd6

=====

- ΔE_f of number 3 (Co2NiPd6)?
  0.35 eV per formula unit

=====

Repeat the fourth record exactly.
This record from Alexandria describes a relaxed structure of Co7NiPd12. The functional is PBE.

Cell and atoms, written as POSCAR:
```
Co7NiPd12
1.0
5.327 3.076 2.852
-5.327 3.076 2.852
0.000 -6.151 2.852
Co Ni Pd
7 1 12
Cartesian
0.000 0.000 0.000
-2.110 -1.213 3.840
-0.005 -2.434 4.717
-2.106 1.221 4.717
2.106 -1.221 3.839
0.005 2.434 3.839
2.110 1.213 4.717
0.000 0.000 4.278
-3.930 0.665 2.857
-0.009 -1.549 2.184
-1.337 0.782 2.184
-2.541 -3.071 5.699
1.389 -3.736 2.857
1.346 0.767 2.184
-1.346 -0.767 6.372
-1.389 3.736 5.699
2.541 3.071 2.857
1.337 -0.782 6.372
0.009 1.549 6.372
3.930 -0.665 5.699
```

Results
**ΔE_f**: 1.76 eV per formula unit
**Calculated total energy**: -0.42658 Ry/atom
**Size of the total moment**: 18.05 μB per cell
**Crystal system**: trigonal
**Density**: 10.35 g/cm3
**Symmetry**: R-3 (148)